#one
KTbSnTe3 | PBE | optimized geometry

Computed properties:
Crystal system: orthorhombic
Space group: Cmcm

a = 8.901 Å, b = 8.901 Å, c = 12.770 Å
α = 90.00°, β = 90.00°, γ = 151.47°
Fractional coordinates of all 12 atoms:
1 K 0.309 0.691 0.250
2 K 0.691 0.309 0.750
3 Sn 0.613 0.387 0.250
4 Sn 0.387 0.613 0.750
5 Tb 0.000 0.000 0.000
6 Tb 0.000 0.000 0.500
7 Te 0.625 0.375 0.005
8 Te 0.997 0.003 0.250
9 Te 0.625 0.375 0.495
10 Te 0.375 0.625 0.505
11 Te 0.003 0.997 0.750
12 Te 0.375 0.625 0.995

=====

#two
KTbSnTe3 | PBE | optimized geometry

Computed properties:
Crystal system: orthorhombic
Space group: Pnma

a = 16.519 Å, b = 4.440 Å, c = 12.637 Å
α = 90.00°, β = 90.00°, γ = 90.00°
Fractional coordinates of all 24 atoms:
1 K 0.229 0.250 0.077
2 K 0.729 0.250 0.423
3 K 0.271 0.750 0.577
4 K 0.771 0.750 0.923
5 Sn 0.963 0.750 0.082
6 Sn 0.463 0.750 0.418
7 Sn 0.537 0.250 0.582
8 Sn 0.037 0.250 0.918
9 Tb 0.492 0.250 0.149
10 Tb 0.992 0.250 0.351
11 Tb 0.008 0.750 0.649
12 Tb 0.508 0.750 0.851
13 Te 0.392 0.750 0.041
14 Te 0.861 0.250 0.170
15 Te 0.094 0.750 0.233
16 Te 0.594 0.750 0.267
17 Te 0.361 0.250 0.330
18 Te 0.892 0.750 0.459
19 Te 0.108 0.250 0.541
20 Te 0.639 0.750 0.670
21 Te 0.406 0.250 0.733
22 Te 0.906 0.250 0.767
23 Te 0.139 0.750 0.830
24 Te 0.608 0.250 0.959

=====

Which is most stable, and by how much? #two, by 125 meV per atom.

=====

#one
KTmSnTe3 | PBE | optimized geometry

Computed properties:
Crystal system: orthorhombic
Space group: Cmcm

a = 9.065 Å, b = 9.065 Å, c = 12.559 Å
α = 90.00°, β = 90.00°, γ = 152.42°
Fractional coordinates of all 12 atoms:
1 K 0.200 0.800 0.250
2 K 0.800 0.200 0.750
3 Sn 0.883 0.117 0.250
4 Sn 0.117 0.883 0.750
5 Te 0.121 0.879 0.002
6 Te 0.497 0.503 0.250
7 Te 0.121 0.879 0.498
8 Te 0.879 0.121 0.502
9 Te 0.503 0.497 0.750
10 Te 0.879 0.121 0.998
11 Tm 0.500 0.500 0.000
12 Tm 0.500 0.500 0.500

=====

#two
KTmSnTe3 | PBE | optimized geometry

Computed properties:
Crystal system: orthorhombic
Space group: Pnma

a = 16.479 Å, b = 4.398 Å, c = 12.495 Å
α = 90.00°, β = 90.00°, γ = 90.00°
Fractional coordinates of all 24 atoms:
1 K 0.728 0.750 0.082
2 K 0.228 0.750 0.418
3 K 0.772 0.250 0.582
4 K 0.272 0.250 0.918
5 Sn 0.462 0.250 0.082
6 Sn 0.962 0.250 0.418
7 Sn 0.038 0.750 0.582
8 Sn 0.538 0.750 0.918
9 Te 0.893 0.250 0.039
10 Te 0.360 0.750 0.171
11 Te 0.592 0.250 0.236
12 Te 0.091 0.250 0.264
13 Te 0.860 0.750 0.329
14 Te 0.393 0.250 0.461
15 Te 0.607 0.750 0.539
16 Te 0.140 0.250 0.671
17 Te 0.909 0.750 0.736
18 Te 0.408 0.750 0.764
19 Te 0.640 0.250 0.829
20 Te 0.107 0.750 0.961
21 Tm 0.990 0.750 0.148
22 Tm 0.490 0.750 0.352
23 Tm 0.510 0.250 0.648
24 Tm 0.010 0.250 0.852

=====

Which is most stable, and by how much? #two, by 123 meV per atom.

=====

#one
KZrSn | PBE | optimized geometry

Computed properties:
Crystal system: cubic
Space group: F-43m

a = 5.201 Å, b = 5.201 Å, c = 5.201 Å
α = 60.00°, β = 60.00°, γ = 60.00°
Fractional coordinates of all 3 atoms:
1 K 0.250 0.250 0.250
2 Sn 0.000 0.000 0.000
3 Zr 0.750 0.750 0.750

=====

#two
KZrSn | PBE | optimized geometry

Computed properties:
Crystal system: cubic
Space group: F-43m

a = 5.160 Å, b = 5.160 Å, c = 5.160 Å
α = 60.00°, β = 60.00°, γ = 60.00°
Fractional coordinates of all 3 atoms:
1 K 0.000 0.000 0.000
2 Sn 0.250 0.250 0.250
3 Zr 0.750 0.750 0.750

=====

Which is most stable, and by how much? #one, by 709 meV per atom.

=====

#one
KTa | PBE | optimized geometry

Computed properties:
Crystal system: hexagonal
Space group: P-6m2

a = 2.965 Å, b = 2.965 Å, c = 6.580 Å
α = 90.00°, β = 90.00°, γ = 120.00°
Fractional coordinates of all 2 atoms:
1 K 0.667 0.333 0.750
2 Ta 0.333 0.667 0.250

=====

#two
KTa | PBE | optimized geometry

Computed properties:
Crystal system: cubic
Space group: Fm-3m

a = 4.988 Å, b = 4.988 Å, c = 4.988 Å
α = 60.00°, β = 60.00°, γ = 60.00°
Fractional coordinates of all 2 atoms:
1 K 0.000 0.000 0.000
2 Ta 0.500 0.500 0.500

=====

#three
KTa | PBE | optimized geometry

Computed properties:
Crystal system: hexagonal
Space group: P6_3/mmc

a = 6.296 Å, b = 6.296 Å, c = 4.840 Å
α = 90.00°, β = 90.00°, γ = 120.00°
Fractional coordinates of all 4 atoms:
1 K 0.667 0.333 0.250
2 K 0.333 0.667 0.750
3 Ta 0.000 0.000 0.000
4 Ta 0.000 0.000 0.500

=====

#four
KTa | PBE | optimized geometry

Computed properties:
Crystal system: cubic
Space group: F-43m

a = 5.807 Å, b = 5.807 Å, c = 5.807 Å
α = 60.00°, β = 60.00°, γ = 60.00°
Fractional coordinates of all 2 atoms:
1 K 0.000 0.000 0.000
2 Ta 0.250 0.250 0.250

=====

Which is most stable, and by how much? #one, by 501 meV per atom.